A relaxed Sm8Er6In crystal. Source: Alexandria, functional GGA-PBE.

The structure belongs to space group P-3 (No. 147); the cell edges are 9.3058, 9.3058 and 6.4613 Å and the angles 90.00°, 90.00° and 120.00°. Symmetry generates all atoms from Sm at (0.0409, 0.2720, 0.3199), Sm at (0.3333, 0.6667, 0.3399), Er at (0.0970, 0.4485, 0.8321) and In at (0.0000, 0.0000, 0.0000).

The calculation puts the total energy at -4.440 eV per atom. For the calculated formation energy, the calculation gives 84.9 meV/atom.